No. 1
NbSiPd3 PBE-GGA relaxed; space group = No. 221; polymorph energy (0 for the lowest one) = 0.887 eV per atom; size of the total moment = 0.0 μB per formula unit; formation energy (no corrections) = 1.126 eV per atom
1.0
-3.443 -3.143 1.300
2.830 -1.622 3.575
-1.886 3.304 2.992
Nb Si Pd
1 1 3
Direct
0.000 0.000 0.000
0.500 0.500 0.500
0.000 0.500 0.000
0.000 0.000 0.500
0.500 0.000 0.000


No. 2
Tb2Mg2Ru PBE-GGA relaxed; space group = No. 139; size of the total moment = 0.0 μB per formula unit; formation energy from the elements = -5.48 kcal/mol of atoms
1.0
3.388 0.000 -0.544
-0.087 3.387 -0.544
-0.048 -0.050 10.529
Tb Mg Ru
2 2 1
Direct
0.581 0.581 0.162
0.419 0.419 0.838
0.797 0.797 0.593
0.203 0.203 0.407
0.000 0.000 0.000